# 1
Density functional theory data (PBE) for a geometry-optimized Rb3RhPb structure.

a = 6.0920 Å, b = 6.0920 Å, c = 6.0920 Å
α = 90.00°, β = 90.00°, γ = 90.00°
Each line ends with the local moment (μB).
Fractional coordinates of all 5 atoms:
Rb  0.5000  0.0000  0.0000  0.01
Rb  0.0000  0.0000  0.5000  0.01
Rb  0.0000  0.5000  0.0000  0.01
Rh  0.0000  0.0000  0.0000  0.11
Pb  0.5000  0.5000  0.5000  0.59

Results
Mass density ... 4.2 g/cm3
E_form ... 631 meV per atom
Space group ... Pm-3m
Excess energy over the best structure of this formula in the dataset ... 0 meV/atom


# 2
Density functional theory data (PBE) for a geometry-optimized Rb2RhPb2 structure.

a = 7.2889 Å, b = 7.2889 Å, c = 6.3561 Å
α = 90.00°, β = 90.00°, γ = 90.00°
Fractional coordinates of all 10 atoms:
Rh  0.0000  0.0000  0.0000
Rh  0.5000  0.5000  0.0000
Rb  0.1787  0.6787  0.5000
Rb  0.3213  0.1787  0.5000
Rb  0.8213  0.3213  0.5000
Rb  0.6787  0.8213  0.5000
Pb  0.8419  0.6581  0.0000
Pb  0.1581  0.3419  0.0000
Pb  0.6581  0.1581  0.0000
Pb  0.3419  0.8419  0.0000

Results
Mass density ... 6.8 g/cm3
E_form ... 67 meV per atom
Space group ... P4/mbm


# 3
Density functional theory data (PBE) for a geometry-optimized Rb2RhPb structure.

a = 12.5678 Å, b = 12.5678 Å, c = 9.2562 Å
α = 47.24°, β = 47.24°, γ = 90.00°
Fractional coordinates of all 8 atoms:
Pb  0.7500  0.2500  0.5000
Pb  0.0000  0.0000  0.0000
Rh  0.5000  0.5000  0.0000
Rh  0.2500  0.7500  0.5000
Rb  0.2972  0.6250  0.2500
Rb  0.8750  0.7028  0.7500
Rb  0.4528  0.1250  0.2500
Rb  0.3750  0.5472  0.7500

Results
Mass density ... 3.9 g/cm3
E_form ... 230 meV per atom
Space group ... I-42d


# 4
Density functional theory data (PBE) for a geometry-optimized RbRhPb2S structure.

a = 5.5264 Å, b = 5.8383 Å, c = 5.5264 Å
α = 90.00°, β = 90.00°, γ = 90.00°
Each line ends with the local moment (μB).
Fractional coordinates of all 5 atoms:
Rb  0.0000  0.5000  0.0000  -0.01
Pb  0.0000  0.0000  0.5000  -0.05
Pb  0.5000  0.0000  0.0000  -0.05
S  0.0000  0.0000  0.0000  -0.01
Rh  0.5000  0.5000  0.5000  0.83

Results
Mass density ... 5.9 g/cm3
Space group ... P4/mmm
Uncorrected energy ... -16.90 eV per cell


# 5
Density functional theory data (PBE) for a geometry-optimized RbSr2RhPb structure.

a = 5.9479 Å, b = 5.9479 Å, c = 5.3999 Å
α = 90.00°, β = 90.00°, γ = 90.00°
Fractional coordinates of all 5 atoms:
Pb  0.0000  0.0000  0.5000
Rh  0.0000  0.0000  0.0000
Sr  0.0000  0.5000  0.0000
Sr  0.5000  0.0000  0.0000
Rb  0.5000  0.5000  0.5000

Results
Mass density ... 5.0 g/cm3
E_form ... -194 meV per atom
Space group ... P4/mmm


# 6
Density functional theory data (PBE) for a geometry-optimized RbTl2RhPb structure.

a = 5.4202 Å, b = 5.4202 Å, c = 5.4508 Å
α = 90.00°, β = 90.00°, γ = 90.00°
Fractional coordinates of all 5 atoms:
Pb  0.0000  0.0000  0.5000
Rb  0.5000  0.5000  0.5000
Tl  0.5000  0.0000  0.0000
Tl  0.0000  0.5000  0.0000
Rh  0.0000  0.0000  0.0000

Results
Mass density ... 8.3 g/cm3
E_form ... -6 meV per atom
Space group ... P4/mmm


# 7
Density functional theory data (PBE) for a geometry-optimized RbTlRhPb2 structure.

a = 5.4563 Å, b = 5.4563 Å, c = 5.4402 Å
α = 90.00°, β = 90.00°, γ = 90.00°
Fractional coordinates of all 5 atoms:
Rb  0.5000  0.5000  0.5000
Pb  0.5000  0.0000  0.0000
Pb  0.0000  0.5000  0.0000
Rh  0.0000  0.0000  0.0000
Tl  0.0000  0.0000  0.5000

Results
Mass density ... 8.3 g/cm3
E_form ... 44 meV per atom
Space group ... P4/mmm


# 8
Density functional theory data (PBE) for a geometry-optimized Rb2YRhPb structure.

a = 6.4047 Å, b = 6.4047 Å, c = 5.1240 Å
α = 90.00°, β = 90.00°, γ = 90.00°
Each line ends with the local moment (μB).
Fractional coordinates of all 5 atoms:
Rb  0.0000  0.5000  0.0000  0.01
Rb  0.5000  0.0000  0.0000  0.01
Rh  0.0000  0.0000  0.0000  0.15
Pb  0.5000  0.5000  0.5000  0.25
Y  0.0000  0.0000  0.5000  0.01

Results
Mass density ... 4.5 g/cm3
E_form ... 406 meV per atom
Space group ... P4/mmm


# 9
Density functional theory data (PBE) for a geometry-optimized RbZrRh2Pb structure.

a = 4.9763 Å, b = 5.8306 Å, c = 4.9763 Å
α = 90.00°, β = 90.00°, γ = 90.00°
Fractional coordinates of all 5 atoms:
Pb  0.0000  0.5000  0.0000
Rh  0.0000  0.0000  0.5000
Rh  0.5000  0.0000  0.0000
Zr  0.0000  0.0000  0.0000
Rb  0.5000  0.5000  0.5000

Results
Mass density ... 6.8 g/cm3
E_form ... 529 meV per atom
Space group ... P4/mmm


# 10
Density functional theory data (PBE) for a geometry-optimized RbRuPb3 structure.

a = 6.0003 Å, b = 6.0003 Å, c = 6.0003 Å
α = 90.00°, β = 90.00°, γ = 90.00°
Each line ends with the local moment (μB).
Fractional coordinates of all 5 atoms:
Rb  0.0000  0.0000  0.0000  0.00
Pb  0.5000  0.0000  0.0000  0.00
Pb  0.0000  0.0000  0.5000  -0.03
Pb  0.0000  0.5000  0.0000  -0.03
Ru  0.5000  0.5000  0.5000  2.48

Results
Mass density ... 6.2 g/cm3
E_form ... 2003 meV per atom
Space group ... Pm-3m
Excess energy over the best structure of this formula in the dataset ... 1760 meV/atom


# 11
Density functional theory data (PBE) for a geometry-optimized RbRu3Pb structure.

a = 5.1755 Å, b = 5.1755 Å, c = 5.1755 Å
α = 90.00°, β = 90.00°, γ = 90.00°
Each line ends with the local moment (μB).
Fractional coordinates of all 5 atoms:
Ru  0.5000  0.0000  0.0000  1.25
Ru  0.0000  0.0000  0.5000  1.77
Ru  0.0000  0.5000  0.0000  1.62
Pb  0.0000  0.0000  0.0000  -0.09
Rb  0.5000  0.5000  0.5000  0.00

Results
Mass density ... 7.1 g/cm3
E_form ... 1892 meV per atom
Space group ... Pm-3m
Excess energy over the best structure of this formula in the dataset ... 0 meV/atom


# 12
Density functional theory data (PBE) for a geometry-optimized RbRuPb3 structure.

a = 5.4634 Å, b = 5.4634 Å, c = 5.4634 Å
α = 90.00°, β = 90.00°, γ = 90.00°
Each line ends with the local moment (μB).
Fractional coordinates of all 5 atoms:
Rb  0.5000  0.5000  0.5000  0.05
Pb  0.0000  0.0000  0.5000  0.23
Pb  0.5000  0.0000  0.0000  0.04
Pb  0.0000  0.5000  0.0000  0.10
Ru  0.0000  0.0000  0.0000  1.18

Results
Mass density ... 8.2 g/cm3
E_form ... 242 meV per atom
Space group ... Pm-3m
Excess energy over the best structure of this formula in the dataset ... 0 meV/atom


Number 1: total moment 2.175 μB/cell. Number 2: total moment 0.000 μB/cell. Number 3: total moment 0.000 μB/cell. Number 4: total moment 0.519 μB/cell. Number 5: total moment 0.615 μB/cell. Number 6: total moment 0.000 μB/cell. Number 7: total moment 0.001 μB/cell. Number 8: total moment 1.169 μB/cell. Number 9: total moment 0.000 μB/cell. Number 10: total moment 2.610 μB/cell. Number 11: total moment 4.791 μB/cell. Number 12: total moment 2.542 μB/cell.